Density functional theory data (PBE-GGA) for a geometry-optimized Cs2GeI4 structure.

a = 10.5674 Å, b = 10.5674 Å, c = 10.5674 Å
α = 147.18°, β = 147.18°, γ = 47.10°
Positions (direct):
Cs: 0.1408 0.1408 0.0000
Cs: 0.8592 0.8592 0.0000
Ge: 0.5000 0.5000 0.0000
I: 0.0000 0.5000 0.5000
I: 0.3425 0.3425 0.0000
I: 0.5000 0.0000 0.5000
I: 0.6575 0.6575 0.0000

Results
**Formation energy (no corrections)**: -1033 meV/atom
**Distance to the lowest polymorph of the same formula**: 0.00 eV/f.u.
**Total moment**: 0.00 Bohr magnetons per cell
**Space-group type**: No. 139
**E_tot**: -0.207 Ry per atom